28
Lattice="7.5547 0.0000 0.0000 -3.7774 6.5426 0.0000 0.0000 0.0000 18.2846" Properties=species:S:1:pos:R:3 comment="PBE Rb3Mo2Br9, optimized geometry" space_group="No. 194" m_tot_mub_per_cell=8.04 total_energy_ev_per_cell=-109.46 pbc="T T T"
Rb 0.0000 0.0000 4.5711
Rb 0.0000 0.0000 13.7134
Rb 0.0000 4.3617 1.2258
Rb 0.0000 4.3617 7.9165
Rb 3.7774 2.1809 10.3681
Rb 3.7774 2.1809 17.0588
Mo 0.0000 4.3617 12.2906
Mo 0.0000 4.3617 15.1363
Mo 3.7774 2.1809 3.1483
Mo 3.7774 2.1809 5.9940
Br -1.8648 3.2851 4.5711
Br 0.0000 2.2593 10.8039
Br 0.0000 2.2593 16.6230
Br -1.8208 5.4130 10.8039
Br -1.8208 5.4130 16.6230
Br 1.9566 1.1296 1.6616
Br 1.9566 1.1296 7.4807
Br 1.8648 3.2851 4.5711
Br 0.0000 6.5150 4.5711
Br 3.7774 0.0276 13.7134
Br 1.9126 3.2575 13.7134
Br 1.8208 5.4130 10.8039
Br 1.8208 5.4130 16.6230
Br 5.5982 1.1296 1.6616
Br 5.5982 1.1296 7.4807
Br 3.7774 4.2833 1.6616
Br 3.7774 4.2833 7.4807
Br 5.6422 3.2575 13.7134